Compound: FeOsNF2
Source: Alexandria
Functional: GGA-PBEsol
Structure: relaxed

```
data_FeOsNF2
_chemical_formula_sum 'Fe1 Os1 N1 F2'
_cell_length_a 3.6385
_cell_length_b 3.6385
_cell_length_c 4.2147
_cell_angle_alpha 90.00
_cell_angle_beta 90.00
_cell_angle_gamma 90.00
_symmetry_space_group_name_H-M 'P 4/m m m'
_symmetry_Int_Tables_number 123
_symmetry_space_group_name_Hall '-P 4 2'
loop_
_atom_site_label
_atom_site_type_symbol
_atom_site_fract_x
_atom_site_fract_y
_atom_site_fract_z
Fe1 Fe 0.0000 0.0000 0.0000
Os1 Os 0.5000 0.5000 0.5000
N1 N 0.0000 0.0000 0.5000
F1 F 0.0000 0.5000 0.0000
```

Output
Formation energy (no corrections) ... 0.53 eV/atom
Energy above the most stable polymorph in this dataset ... 307 meV per atom



Compound: FePbN2F
Source: Alexandria
Functional: GGA-PBEsol
Structure: relaxed

```
data_FePbN2F
_chemical_formula_sum 'Fe1 Pb1 N2 F1'
_cell_length_a 3.6489
_cell_length_b 3.6489
_cell_length_c 4.5270
_cell_angle_alpha 90.00
_cell_angle_beta 90.00
_cell_angle_gamma 90.00
_symmetry_space_group_name_H-M 'P 4/m m m'
_symmetry_Int_Tables_number 123
_symmetry_space_group_name_Hall '-P 4 2'
loop_
_atom_site_label
_atom_site_type_symbol
_atom_site_fract_x
_atom_site_fract_y
_atom_site_fract_z
Fe1 Fe 0.0000 0.0000 0.0000
Pb1 Pb 0.5000 0.5000 0.5000
N1 N 0.0000 0.5000 0.0000
F1 F 0.0000 0.0000 0.5000
```

Output
Formation energy (no corrections) ... -0.08 eV/atom



Compound: FePdNF2
Source: Alexandria
Functional: GGA-PBEsol
Structure: relaxed

```
data_FePdNF2
_chemical_formula_sum 'Fe1 Pd1 N1 F2'
_cell_length_a 3.8568
_cell_length_b 3.8568
_cell_length_c 3.6128
_cell_angle_alpha 90.00
_cell_angle_beta 90.00
_cell_angle_gamma 90.00
_symmetry_space_group_name_H-M 'P 4/m m m'
_symmetry_Int_Tables_number 123
_symmetry_space_group_name_Hall '-P 4 2'
loop_
_atom_site_label
_atom_site_type_symbol
_atom_site_fract_x
_atom_site_fract_y
_atom_site_fract_z
Fe1 Fe 0.0000 0.0000 0.0000
Pd1 Pd 0.5000 0.5000 0.5000
N1 N 0.0000 0.0000 0.5000
F1 F 0.0000 0.5000 0.0000
```

Output
Formation energy (no corrections) ... -0.30 eV/atom



Compound: FeS2NF
Source: Alexandria
Functional: GGA-PBEsol
Structure: relaxed

```
data_FeS2NF
_chemical_formula_sum 'Fe1 S2 N1 F1'
_cell_length_a 4.4941
_cell_length_b 4.4941
_cell_length_c 3.3176
_cell_angle_alpha 90.00
_cell_angle_beta 90.00
_cell_angle_gamma 90.00
_symmetry_space_group_name_H-M 'P 4/m m m'
_symmetry_Int_Tables_number 123
_symmetry_space_group_name_Hall '-P 4 2'
loop_
_atom_site_label
_atom_site_type_symbol
_atom_site_fract_x
_atom_site_fract_y
_atom_site_fract_z
Fe1 Fe 0.0000 0.0000 0.0000
S1 S 0.0000 0.5000 0.0000
N1 N 0.0000 0.0000 0.5000
F1 F 0.5000 0.5000 0.5000
```

Output
Formation energy (no corrections) ... 0.38 eV/atom



Compound: FeSN2F
Source: Alexandria
Functional: GGA-PBEsol
Structure: relaxed

```
data_FeSN2F
_chemical_formula_sum 'Fe1 S1 N2 F1'
_cell_length_a 3.6572
_cell_length_b 3.6572
_cell_length_c 3.6781
_cell_angle_alpha 90.00
_cell_angle_beta 90.00
_cell_angle_gamma 90.00
_symmetry_space_group_name_H-M 'P 4/m m m'
_symmetry_Int_Tables_number 123
_symmetry_space_group_name_Hall '-P 4 2'
loop_
_atom_site_label
_atom_site_type_symbol
_atom_site_fract_x
_atom_site_fract_y
_atom_site_fract_z
Fe1 Fe 0.0000 0.0000 0.0000
S1 S 0.5000 0.5000 0.5000
N1 N 0.0000 0.5000 0.0000
F1 F 0.0000 0.0000 0.5000
```

Output
Formation energy (no corrections) ... 0.61 eV/atom



Compound: FeSeNF2
Source: Alexandria
Functional: GGA-PBEsol
Structure: relaxed

```
data_FeSeNF2
_chemical_formula_sum 'Fe1 Se1 N1 F2'
_cell_length_a 3.7631
_cell_length_b 3.7631
_cell_length_c 4.1182
_cell_angle_alpha 90.00
_cell_angle_beta 90.00
_cell_angle_gamma 90.00
_symmetry_space_group_name_H-M 'P 4/m m m'
_symmetry_Int_Tables_number 123
_symmetry_space_group_name_Hall '-P 4 2'
loop_
_atom_site_label
_atom_site_type_symbol
_atom_site_fract_x
_atom_site_fract_y
_atom_site_fract_z
Fe1 Fe 0.0000 0.0000 0.0000
Se1 Se 0.5000 0.5000 0.5000
N1 N 0.0000 0.0000 0.5000
F1 F 0.0000 0.5000 0.0000
```

Output
Formation energy (no corrections) ... -0.22 eV/atom



Compound: FeSeN2F
Source: Alexandria
Functional: GGA-PBEsol
Structure: relaxed

```
data_FeSeN2F
_chemical_formula_sum 'Fe1 Se1 N2 F1'
_cell_length_a 3.4515
_cell_length_b 3.4515
_cell_length_c 5.0682
_cell_angle_alpha 90.00
_cell_angle_beta 90.00
_cell_angle_gamma 90.00
_symmetry_space_group_name_H-M 'P 4/m m m'
_symmetry_Int_Tables_number 123
_symmetry_space_group_name_Hall '-P 4 2'
loop_
_atom_site_label
_atom_site_type_symbol
_atom_site_fract_x
_atom_site_fract_y
_atom_site_fract_z
Fe1 Fe 0.0000 0.0000 0.0000
Se1 Se 0.0000 0.0000 0.5000
N1 N 0.0000 0.5000 0.0000
F1 F 0.5000 0.5000 0.5000
```

Output
Formation energy (no corrections) ... 0.46 eV/atom



Compound: FeTcNF2
Source: Alexandria
Functional: GGA-PBEsol
Structure: relaxed

```
data_FeTcNF2
_chemical_formula_sum 'Fe1 Tc1 N1 F2'
_cell_length_a 3.8546
_cell_length_b 3.8546
_cell_length_c 3.8093
_cell_angle_alpha 90.00
_cell_angle_beta 90.00
_cell_angle_gamma 90.00
_symmetry_space_group_name_H-M 'P 4/m m m'
_symmetry_Int_Tables_number 123
_symmetry_space_group_name_Hall '-P 4 2'
loop_
_atom_site_label
_atom_site_type_symbol
_atom_site_fract_x
_atom_site_fract_y
_atom_site_fract_z
Fe1 Fe 0.0000 0.0000 0.0000
Tc1 Tc 0.5000 0.5000 0.5000
N1 N 0.0000 0.0000 0.5000
F1 F 0.0000 0.5000 0.0000
```

Output
Formation energy (no corrections) ... 0.02 eV/atom



Compound: ZnFeNF2
Source: Alexandria
Functional: GGA-PBEsol
Structure: relaxed

```
data_ZnFeNF2
_chemical_formula_sum 'Zn1 Fe1 N1 F2'
_cell_length_a 3.7693
_cell_length_b 3.7693
_cell_length_c 4.0963
_cell_angle_alpha 90.00
_cell_angle_beta 90.00
_cell_angle_gamma 90.00
_symmetry_space_group_name_H-M 'P 4/m m m'
_symmetry_Int_Tables_number 123
_symmetry_space_group_name_Hall '-P 4 2'
loop_
_atom_site_label
_atom_site_type_symbol
_atom_site_fract_x
_atom_site_fract_y
_atom_site_fract_z
Zn1 Zn 0.0000 0.0000 0.0000
Fe1 Fe 0.5000 0.5000 0.5000
N1 N 0.0000 0.0000 0.5000
F1 F 0.0000 0.5000 0.0000
```

Output
Formation energy (no corrections) ... -0.18 eV/atom



Compound: ZrFeNF2
Source: Alexandria
Functional: GGA-PBEsol
Structure: relaxed

```
data_ZrFeNF2
_chemical_formula_sum 'Zr1 Fe1 N1 F2'
_cell_length_a 3.7639
_cell_length_b 3.7639
_cell_length_c 3.8735
_cell_angle_alpha 90.00
_cell_angle_beta 90.00
_cell_angle_gamma 90.00
_symmetry_space_group_name_H-M 'P 4/m m m'
_symmetry_Int_Tables_number 123
_symmetry_space_group_name_Hall '-P 4 2'
loop_
_atom_site_label
_atom_site_type_symbol
_atom_site_fract_x
_atom_site_fract_y
_atom_site_fract_z
Zr1 Zr 0.0000 0.0000 0.0000
Fe1 Fe 0.5000 0.5000 0.5000
N1 N 0.5000 0.5000 0.0000
F1 F 0.0000 0.5000 0.5000
```

Output
Formation energy (no corrections) ... -0.94 eV/atom



Compound: Na8Fe6P6O24F9
Source: Alexandria
Functional: GGA-PBEsol
Structure: relaxed

```
data_Na8Fe6P6O24F9
_chemical_formula_sum 'Na16 Fe12 P12 O48 F18'
_cell_length_a 21.0194
_cell_length_b 8.9856
_cell_length_c 7.0334
_cell_angle_alpha 90.00
_cell_angle_beta 99.08
_cell_angle_gamma 90.00
_symmetry_space_group_name_H-M 'C 1 2/m 1'
_symmetry_Int_Tables_number 12
loop_
_symmetry_equiv_pos_as_xyz
'x,y,z'
'-x,-y,-z'
'-x,y,-z'
'x,-y,z'
'x+1/2,y+1/2,z'
'-x+1/2,-y+1/2,-z'
'-x+1/2,y+1/2,-z'
'x+1/2,-y+1/2,z'
loop_
_atom_site_label
_atom_site_type_symbol
_atom_site_fract_x
_atom_site_fract_y
_atom_site_fract_z
Na1 Na 0.0684 0.0000 0.3624
Na2 Na 0.0846 0.5000 0.3293
Na3 Na 0.1766 0.2818 0.1440
Fe1 Fe 0.0624 0.5000 0.7510
Fe2 Fe 0.1048 0.0000 0.9161
Fe3 Fe 0.2294 0.0000 0.4135
P1 P 0.0000 0.2507 0.0000
P2 P 0.1662 0.2498 0.6643
O1 O 0.0044 0.3485 0.8220
O2 O 0.0611 0.1547 0.0562
O3 O 0.1076 0.3536 0.6174
O4 O 0.1620 0.1566 0.8460
O5 O 0.1668 0.1515 0.4845
O6 O 0.2295 0.3397 0.7104
F1 F 0.0000 0.5000 0.5000
F2 F 0.0454 0.0000 0.6862
F3 F 0.1175 0.5000 0.0030
F4 F 0.1655 0.0000 0.1689
F5 F 0.2075 0.5000 0.3548
```

Output
Formation energy (no corrections) ... -2.10 eV/atom



Compound: NaFeSO4F
Source: Alexandria
Functional: GGA-PBEsol
Structure: relaxed

```
data_NaFeSO4F
_chemical_formula_sum 'Na4 Fe4 S4 O16 F4'
_cell_length_a 6.6343
_cell_length_b 8.6567
_cell_length_c 7.2190
_cell_angle_alpha 90.00
_cell_angle_beta 114.14
_cell_angle_gamma 90.00
_symmetry_space_group_name_H-M 'C 1 2/c 1'
_symmetry_Int_Tables_number 15
loop_
_symmetry_equiv_pos_as_xyz
'x,y,z'
'-x,-y,-z'
'-x,y,-z+1/2'
'x,-y,z+1/2'
'x+1/2,y+1/2,z'
'-x+1/2,-y+1/2,-z'
'-x+1/2,y+1/2,-z+1/2'
'x+1/2,-y+1/2,z+1/2'
loop_
_atom_site_label
_atom_site_type_symbol
_atom_site_fract_x
_atom_site_fract_y
_atom_site_fract_z
Na1 Na 0.0000 0.1621 0.2500
Fe1 Fe 0.0000 0.5000 0.0000
S1 S 0.0000 0.1832 0.7500
O1 O 0.1086 0.2821 0.6474
O2 O 0.1657 0.0815 0.9035
F1 F 0.0000 0.4151 0.2500
```

Output
Formation energy (no corrections) ... -1.62 eV/atom



Q: Which of these has the highest formation energy (no corrections)?
A: FeSN2F